Entry 1:
A plane-wave DFT calculation with PBE-GGA was carried out for a geometry-optimized ZrGa2Pd structure.

Cell lengths 4.1138, 6.6574, 9.9625 Å; angles 90.00, 90.00, 90.00 degrees
With the nearest neighbours (Å) after each atom.
Atoms (fractional coordinates):
Zr 0.7500 0.7433 0.3200  7 Ga 2.87-2.94, 3 Pd 3.02-3.10
Zr 0.7500 0.2433 0.1800  7 Ga 2.87-2.94, 3 Pd 3.02-3.10
Zr 0.2500 0.2567 0.6800  7 Ga 2.87-2.94, 3 Pd 3.02-3.10
Zr 0.2500 0.7567 0.8200  7 Ga 2.87-2.94, 3 Pd 3.02-3.10
Ga 0.2500 0.9445 0.1626  2 Pd 2.55-2.60, 3 Ga 2.65-2.67
Ga 0.7500 0.0555 0.8374  2 Pd 2.55-2.60, 3 Ga 2.65-2.67
Ga 0.7500 0.7822 0.0308  3 Pd 2.59-2.64, 3 Ga 2.65-2.67, 1 Zr 2.89
Ga 0.2500 0.4445 0.3374  2 Pd 2.55-2.60, 3 Ga 2.65-2.67
Ga 0.2500 0.2178 0.9692  3 Pd 2.59-2.64, 3 Ga 2.65-2.67, 1 Zr 2.89
Ga 0.2500 0.7178 0.5308  3 Pd 2.59-2.64, 3 Ga 2.65-2.67, 1 Zr 2.89
Ga 0.7500 0.5555 0.6626  2 Pd 2.55-2.60, 3 Ga 2.65-2.67
Ga 0.7500 0.2822 0.4692  3 Pd 2.59-2.64, 3 Ga 2.65-2.67, 1 Zr 2.89
Pd 0.7500 0.9332 0.5949  5 Ga 2.55-2.64
Pd 0.2500 0.0668 0.4051  5 Ga 2.55-2.64
Pd 0.2500 0.5668 0.0949  5 Ga 2.55-2.64
Pd 0.7500 0.4332 0.9051  5 Ga 2.55-2.64

Results
Density of states at the Fermi level: 0.154 states/eV/atom
Theoretical density: 8206 kg/m3
Crystal system: orthorhombic
V: 272.8 Å³ per cell
Total magnetization: 0.00 μB/f.u.
DFT formation energy: -0.68 eV/atom



Entry 2:
A plane-wave DFT calculation with PBE-GGA was carried out for a geometry-optimized NpBeRh structure.

Cell lengths 4.1227, 6.0645, 7.3282 Å; angles 90.00, 90.00, 90.00 degrees
With the nearest neighbours (Å) after each atom.
Atoms (fractional coordinates):
Rh 0.2500 0.9250 0.6318  4 Be 2.32-2.39
Rh 0.7500 0.4250 0.8682  4 Be 2.32-2.39
Rh 0.2500 0.5750 0.1318  4 Be 2.32-2.39
Rh 0.7500 0.0750 0.3682  4 Be 2.32-2.39
Np 0.2500 0.1347 0.9927  2 Np 2.63, 3 Be 2.82-2.92, 4 Rh 2.86-2.93
Np 0.7500 0.8653 0.0073  2 Np 2.63, 3 Be 2.82-2.92, 4 Rh 2.86-2.93
Np 0.2500 0.3653 0.4927  2 Np 2.63, 3 Be 2.82-2.92, 4 Rh 2.86-2.93
Np 0.7500 0.6347 0.5073  2 Np 2.63, 3 Be 2.82-2.92, 4 Rh 2.86-2.93
Be 0.7500 0.1149 0.6833  4 Rh 2.32-2.39
Be 0.2500 0.6149 0.8167  4 Rh 2.32-2.39
Be 0.2500 0.8851 0.3167  4 Rh 2.32-2.39
Be 0.7500 0.3851 0.1833  4 Rh 2.32-2.39

Results
Density of states at the Fermi level: 1.052 states/eV/atom
Theoretical density: 12649 kg/m3
Crystal system: orthorhombic
V: 183.2 Å³ per cell
Total magnetization: 2.62 μB/f.u.
DFT formation energy: -0.27 eV/atom



Entry 3:
A plane-wave DFT calculation with PBE-GGA was carried out for a geometry-optimized Ni3Sn2Te2 structure.

Cell lengths 3.7616, 6.7213, 5.8136 Å; angles 90.21, 90.43, 106.07 degrees
With the nearest neighbours (Å) after each atom.
Atoms (fractional coordinates):
Ni 0.0000 0.0000 0.0000  4 Te 2.62, 2 Sn 2.65
Ni 0.2574 0.5170 0.6786  3 Sn 2.58-2.62, 3 Te 2.62-2.88, 2 Ni 2.79-2.83
Ni 0.7426 0.4830 0.3214  3 Sn 2.58-2.62, 3 Te 2.62-2.88, 2 Ni 2.79-2.83
Sn 0.8922 0.7905 0.6071  4 Ni 2.58-2.65
Sn 0.1078 0.2095 0.3929  4 Ni 2.58-2.65
Te 0.3648 0.7253 0.0666  5 Ni 2.62-2.88
Te 0.6352 0.2747 0.9334  5 Ni 2.62-2.88

Results
Density of states at the Fermi level: 0.515 states/eV/atom
Uncorrected formation energy: -0.48 eV/f.u.
Theoretical density: 7862 kg/m3
Crystal system: triclinic
V: 141.2 Å³ per cell
Total magnetization: 0.00 μB/f.u.



Entry 4:
A plane-wave DFT calculation with PBE-GGA was carried out for a geometry-optimized Rb2NdSb2S6 structure.

Cell lengths 7.5262, 7.2150, 8.8223 Å; angles 112.64, 90.00, 121.44 degrees
With the nearest neighbours (Å) after each atom.
Atoms (fractional coordinates):
Nd 0.5000 0.0000 0.5000  6 S 2.79-2.88
Sb 0.9465 0.8930 0.7977  3 S 2.40-2.41
Sb 0.0535 0.1070 0.2023  3 S 2.40-2.41
S 0.7983 0.1123 0.7781  1 Sb 2.41
S 0.6860 0.8877 0.2219  1 Sb 2.41
S 0.2556 0.5112 0.4319  1 Sb 2.40
S 0.7444 0.4888 0.5681  1 Sb 2.40
S 0.3140 0.1123 0.7781  1 Sb 2.41
S 0.2017 0.8877 0.2219  1 Sb 2.41
Rb 0.6983 0.3965 0.1660  5 S 3.33-3.56
Rb 0.3017 0.6035 0.8340  5 S 3.33-3.56

Results
Density of states at the Fermi level: 0.390 states/eV/atom
Uncorrected formation energy: -9.38 eV/f.u.
Theoretical density: 3419 kg/m3
Crystal system: monoclinic
V: 364.8 Å³ per cell
Total magnetization: 0.00 μB/f.u.



Entry 5:
A plane-wave DFT calculation with PBE-GGA was carried out for a geometry-optimized CaCr2Au structure.

Cell lengths 4.1488, 4.1488, 10.3146 Å; angles 78.40, 78.40, 90.00 degrees
With the nearest neighbours (Å) after each atom.
Atoms (fractional coordinates):
Cr 0.8128 0.1250 0.2500  2 Cr 2.14
Cr 0.9372 0.6250 0.2500  2 Cr 2.14
Cr 0.3750 0.1872 0.7500  2 Cr 2.14
Cr 0.8750 0.0628 0.7500  2 Cr 2.14
Au 0.0000 0.0000 0.0000  4 Cr 2.69, 4 Ca 2.93
Au 0.7500 0.2500 0.5000  4 Cr 2.69, 4 Ca 2.93
Ca 0.5000 0.5000 0.0000  4 Au 2.93, 4 Cr 3.24
Ca 0.2500 0.7500 0.5000  4 Au 2.93, 4 Cr 3.24

Results
Density of states at the Fermi level: 1.247 states/eV/atom
Theoretical density: 6654 kg/m3
Crystal system: tetragonal
Energy above the most stable polymorph in this dataset: 0.532 eV/atom
V: 170.2 Å³ per cell
Total magnetization: 3.06 μB/f.u.
DFT formation energy: 0.67 eV/atom



Entry 6:
A plane-wave DFT calculation with PBE-GGA was carried out for a geometry-optimized Pr6NdZn2 structure.

Cell lengths 5.1744, 5.1744, 12.2187 Å; angles 102.22, 102.22, 90.00 degrees
With the nearest neighbours (Å) after each atom.
Atoms (fractional coordinates):
Pr 0.2500 0.7500 0.5000  4 Zn 3.15
Pr 0.4041 0.9041 0.8082  2 Zn 3.15, 2 Nd 3.42
Pr 0.9041 0.4041 0.8082  2 Zn 3.15, 2 Nd 3.42
Pr 0.0959 0.5959 0.1918  2 Zn 3.15, 2 Nd 3.42
Pr 0.5959 0.0959 0.1918  2 Zn 3.15, 2 Nd 3.42
Pr 0.7500 0.2500 0.5000  4 Zn 3.15
Zn 0.6728 0.6728 0.3455  8 Pr 3.15
Zn 0.3272 0.3272 0.6545  8 Pr 3.15
Nd 0.0000 0.0000 0.0000  8 Pr 3.42

Results
Density of states at the Fermi level: 1.843 states/eV/atom
Theoretical density: 5961 kg/m3
Crystal system: tetragonal
Energy above the most stable polymorph in this dataset: 0.374 eV/atom
V: 312.1 Å³ per cell
Total magnetization: 0.12 μB/f.u.
DFT formation energy: 0.24 eV/atom



Entry 7:
A plane-wave DFT calculation with PBE-GGA was carried out for a geometry-optimized CsTi structure.

Cell lengths 11.5871, 11.8862, 3.6408 Å; angles 90.00, 90.00, 90.00 degrees
With the nearest neighbours (Å) after each atom.
Atoms (fractional coordinates):
Cs 0.1702 0.3123 0.0000  4 Cs 3.64-3.94, 3 Ti 3.80-4.04
Cs 0.0000 0.7417 0.5000  4 Cs 3.64-3.87, 4 Ti 3.73-3.98
Cs 0.5000 0.2583 0.0000  4 Cs 3.64-3.87, 4 Ti 3.73-3.98
Cs 0.3298 0.6877 0.5000  4 Cs 3.64-3.94, 3 Ti 3.80-4.04
Cs 0.6702 0.6877 0.5000  4 Cs 3.64-3.94, 3 Ti 3.80-4.04
Cs 0.8298 0.3123 0.0000  4 Cs 3.64-3.94, 3 Ti 3.80-4.04
Ti 0.3312 0.9910 0.0000  4 Ti 2.63-2.70
Ti 0.8312 0.0090 0.5000  4 Ti 2.63-2.70
Ti 0.1688 0.0090 0.5000  4 Ti 2.63-2.70
Ti 0.0000 0.0391 0.0000  4 Ti 2.70
Ti 0.6688 0.9910 0.0000  4 Ti 2.63-2.70
Ti 0.5000 0.9609 0.5000  4 Ti 2.70

Results
Density of states at the Fermi level: 1.246 states/eV/atom
Theoretical density: 3592 kg/m3
Crystal system: orthorhombic
Energy above the most stable polymorph in this dataset: 0.007 eV/atom
V: 501.4 Å³ per cell
Total magnetization: 0.17 μB/f.u.
DFT formation energy: 0.86 eV/atom



Entry 8:
A plane-wave DFT calculation with PBE-GGA was carried out for a geometry-optimized MgZn2Se2 structure.

Cell lengths 7.9629, 7.8489, 3.7231 Å; angles 78.09, 74.68, 27.23 degrees
With the nearest neighbours (Å) after each atom.
Atoms (fractional coordinates):
Se 0.4027 0.4027 0.5973  4 Mg 2.85-3.15, 1 Se 2.90, 4 Zn 2.94
Se 0.5973 0.5973 0.4027  4 Mg 2.85-3.15, 1 Se 2.90, 4 Zn 2.94
Zn 0.7500 0.7500 0.7500  2 Zn 2.46
Zn 0.2500 0.2500 0.2500  2 Zn 2.46
Mg 0.0000 0.0000 0.0000  8 Se 2.85-3.15

Results
Density of states at the Fermi level: 0.257 states/eV/atom
Uncorrected formation energy: -1.17 eV/f.u.
Theoretical density: 5073 kg/m3
Crystal system: orthorhombic
Energy above the most stable polymorph in this dataset: 0.299 eV/atom
V: 102.5 Å³ per cell
Total magnetization: 0.00 μB/f.u.



Entry 9:
A plane-wave DFT calculation with PBE-GGA was carried out for a geometry-optimized CdSiCl3 structure.

Cell lengths 5.1599, 5.1599, 5.1599 Å; angles 90.00, 90.00, 90.00 degrees
With the nearest neighbours (Å) after each atom.
Atoms (fractional coordinates):
Si 0.5000 0.5000 0.5000  12 Cl 3.65
Cl 0.0000 0.0000 0.5000  2 Cd 2.58
Cl 0.5000 0.0000 0.0000  2 Cd 2.58
Cl 0.0000 0.5000 0.0000  2 Cd 2.58
Cd 0.0000 0.0000 0.0000  6 Cl 2.58

Results
Density of states at the Fermi level: 0.514 states/eV/atom
Uncorrected formation energy: -0.46 eV/f.u.
Theoretical density: 2984 kg/m3
Crystal system: cubic
Energy above the most stable polymorph in this dataset: 0.297 eV/atom
V: 137.4 Å³ per cell
Total magnetization: 1.00 μB/f.u.



Entry 10:
A plane-wave DFT calculation with PBE-GGA was carried out for a geometry-optimized Zr5TlRh4 structure.

Cell lengths 3.2728, 3.2728, 17.8009 Å; angles 90.00, 90.00, 90.00 degrees
With the nearest neighbours (Å) after each atom.
Atoms (fractional coordinates):
Rh 0.0000 0.0000 0.7763  8 Zr 2.81-2.89
Rh 0.0000 0.0000 0.4078  8 Zr 2.84-2.87
Rh 0.0000 0.0000 0.5922  8 Zr 2.84-2.87
Rh 0.0000 0.0000 0.2237  8 Zr 2.81-2.89
Zr 0.5000 0.5000 0.1261  4 Rh 2.89, 4 Tl 3.22
Zr 0.5000 0.5000 0.3129  8 Rh 2.81-2.87
Zr 0.5000 0.5000 0.5000  8 Rh 2.84
Zr 0.5000 0.5000 0.6871  8 Rh 2.81-2.87
Zr 0.5000 0.5000 0.8739  4 Rh 2.89, 4 Tl 3.22
Tl 0.0000 0.0000 0.0000  8 Zr 3.22, 4 Tl 3.27

Results
Density of states at the Fermi level: 0.734 states/eV/atom
Theoretical density: 9337 kg/m3
Crystal system: tetragonal
V: 190.7 Å³ per cell
Total magnetization: 0.00 μB/f.u.
DFT formation energy: -0.61 eV/atom



Entry 11:
A plane-wave DFT calculation with PBE-GGA was carried out for a geometry-optimized Fe2TcNi structure.

Cell lengths 2.5936, 3.6340, 5.1237 Å; angles 90.00, 90.00, 90.00 degrees
With the nearest neighbours (Å) after each atom.
Atoms (fractional coordinates):
Ni 0.5000 0.5000 0.2500  8 Fe 2.55, 2 Tc 2.56, 2 Ni 2.59
Fe 0.0000 0.0000 0.4913  4 Fe 2.47-2.65, 4 Ni 2.55, 4 Tc 2.60
Fe 0.0000 0.0000 0.0087  4 Fe 2.47-2.65, 4 Ni 2.55, 4 Tc 2.60
Tc 0.5000 0.5000 0.7500  2 Ni 2.56, 2 Tc 2.59, 8 Fe 2.60

Results
Density of states at the Fermi level: 1.282 states/eV/atom
Theoretical density: 9228 kg/m3
Crystal system: orthorhombic
V: 48.3 Å³ per cell
Total magnetization: 4.08 μB/f.u.
DFT formation energy: 0.09 eV/atom



Entry 12:
A plane-wave DFT calculation with PBE-GGA was carried out for a geometry-optimized La6ScAg5 structure.

Cell lengths 5.4111, 7.6412, 8.6811 Å; angles 90.00, 108.15, 90.00 degrees
With the nearest neighbours (Å) after each atom.
Atoms (fractional coordinates):
La 0.1732 0.7552 0.3465  7 Ag 3.27-3.51, 1 Sc 3.42
La 0.1732 0.2449 0.3465  7 Ag 3.27-3.51, 1 Sc 3.42
La 0.5000 0.2662 0.0000  6 Ag 3.16-3.29, 2 Sc 3.38
La 0.5000 0.7338 0.0000  6 Ag 3.16-3.29, 2 Sc 3.38
La 0.8268 0.2448 0.6535  7 Ag 3.27-3.51, 1 Sc 3.42
La 0.8268 0.7551 0.6535  7 Ag 3.27-3.51, 1 Sc 3.42
Ag 0.0000 0.5000 0.0000  8 La 3.24-3.46
Ag 0.6465 0.0000 0.2930  8 La 3.16-3.51
Ag 0.3535 0.0000 0.7070  8 La 3.16-3.51
Ag 0.6673 0.5000 0.3349  8 La 3.27-3.34
Ag 0.3327 0.5000 0.6651  8 La 3.27-3.34
Sc 0.0000 0.0000 0.0000  8 La 3.38-3.42, 4 Ag 3.63

Results
Density of states at the Fermi level: 0.931 states/eV/atom
Theoretical density: 6902 kg/m3
Crystal system: orthorhombic
V: 341.1 Å³ per cell
Total magnetization: 0.00 μB/f.u.
DFT formation energy: -0.18 eV/atom